VASP calculation (GGA-PBE) on an optimized crystal structure of BaCe3Pr2Te6.

For the total energy, the calculation gives -5.440 eV per atom. The value obtained for the density of states at the Fermi level is 2.012 states/eV/atom. The calculation puts the formation energy without anion corrections at -1.429 eV/atom. Its space group is C2/m, No. 12.

Unit cell a=10.281 b=10.281 c=9.257 alpha=103.80 beta=103.80 gamma=25.54
Positions (direct):
Ba: 0.000 0.000 0.000
Ce: 0.000 0.000 0.500
Ce: 0.336 0.336 0.171
Ce: 0.664 0.664 0.829
Pr: 0.329 0.329 0.658
Pr: 0.671 0.671 0.342
Te: 0.164 0.164 0.585
Te: 0.173 0.173 0.086
Te: 0.497 0.497 0.733
Te: 0.503 0.503 0.267
Te: 0.827 0.827 0.914
Te: 0.836 0.836 0.415


VASP calculation (GGA-PBE) on an optimized crystal structure of Ba3CePr2Te6.

For the total energy, the calculation gives -4.911 eV per atom. The value obtained for the density of states at the Fermi level is 1.017 states/eV/atom. The calculation puts the formation energy without anion corrections at -1.569 eV/atom. Its space group is C2/m, No. 12.

Unit cell a=8.120 b=8.120 c=8.373 alpha=99.30 beta=99.30 gamma=119.93
Positions (direct):
Ba: 0.000 0.000 0.000
Ba: 0.332 0.668 0.000
Ba: 0.668 0.332 0.000
Ce: 0.500 0.500 0.500
Pr: 0.166 0.834 0.500
Pr: 0.834 0.166 0.500
Te: 0.093 0.425 0.274
Te: 0.244 0.244 0.727
Te: 0.425 0.093 0.274
Te: 0.575 0.907 0.726
Te: 0.756 0.756 0.273
Te: 0.907 0.575 0.726


VASP calculation (GGA-PBE) on an optimized crystal structure of BaCePt.

For the total energy, the calculation gives -5.148 eV per atom. The value obtained for the density of states at the Fermi level is 3.201 states/eV/atom. Its energy above the lowest structure with this stoichiometry is 0.029 eV/f.u. Its space group is P3m1, No. 156. The energy of formation from the pure elements comes out at -0.52 eV per atom.

Unit cell a=4.351 b=4.351 c=7.101 alpha=90.00 beta=90.00 gamma=120.00
Positions (direct):
Ba: 0.000 0.000 0.000
Ce: 0.667 0.333 0.470
Pt: 0.333 0.667 0.282